1.
# SrZr2Zn, relaxed, DFT GGA-PBE
data_SrZr2Zn
_cell_length_a 5.859
_cell_length_b 5.859
_cell_length_c 5.859
_cell_angle_alpha 135.32
_cell_angle_beta 135.32
_cell_angle_gamma 65.03
_symmetry_space_group_name_H-M 'P 1'
_symmetry_Int_Tables_number 1
loop_
_symmetry_equiv_pos_as_xyz
'x,y,z'
loop_
_atom_site_label
_atom_site_type_symbol
_atom_site_fract_x
_atom_site_fract_y
_atom_site_fract_z
_atom_site_occupancy
Sr1 Sr 0.250 0.750 0.500 1
Zn1 Zn 0.750 0.250 0.500 1
Zr1 Zr 0.000 0.000 0.000 1
Zr2 Zr 0.500 0.500 0.000 1
# V: 97.99 Å³/f.u.
# crystal system: tetragonal
# formation energy: 159 kJ/mol of formula units
# space group: I4/mmm (139)
# energy: -18.40 eV per cell


2.
# InCo2Cl, relaxed, DFT GGA-PBE
data_InCo2Cl
_cell_length_a 3.074
_cell_length_b 4.501
_cell_length_c 4.501
_cell_angle_alpha 90.00
_cell_angle_beta 90.00
_cell_angle_gamma 90.00
_symmetry_space_group_name_H-M 'P 1'
_symmetry_Int_Tables_number 1
loop_
_symmetry_equiv_pos_as_xyz
'x,y,z'
loop_
_atom_site_label
_atom_site_type_symbol
_atom_site_fract_x
_atom_site_fract_y
_atom_site_fract_z
_atom_site_occupancy
Co1 Co 0.000 0.500 0.500 1
Co2 Co 0.000 0.000 0.000 1
Cl1 Cl 0.500 0.000 0.500 1
In1 In 0.500 0.500 0.000 1
# V: 62.27 Å³/f.u.
# crystal system: tetragonal
# space group: P4/mmm (123)
# formation energy without anion corrections: 55.7 kJ/mol of atoms
# offset from the most stable computed form: 428 meV per atom
# energy: -16.49 eV per cell


3.
# La2YPbN, relaxed, DFT GGA-PBE
data_La2YPbN
_cell_length_a 5.135
_cell_length_b 5.135
_cell_length_c 4.884
_cell_angle_alpha 90.00
_cell_angle_beta 90.00
_cell_angle_gamma 90.00
_symmetry_space_group_name_H-M 'P 1'
_symmetry_Int_Tables_number 1
loop_
_symmetry_equiv_pos_as_xyz
'x,y,z'
loop_
_atom_site_label
_atom_site_type_symbol
_atom_site_fract_x
_atom_site_fract_y
_atom_site_fract_z
_atom_site_occupancy
Y1 Y 0.000 0.000 0.500 1
N1 N 0.000 0.000 0.000 1
Pb1 Pb 0.500 0.500 0.500 1
La1 La 0.000 0.500 0.000 1
La2 La 0.500 0.000 0.000 1
# V: 128.78 Å³/f.u.
# crystal system: tetragonal
# space group: P4/mmm (123)
# formation energy without anion corrections: -89.3 kJ/mol of atoms
# energy: -32.98 eV per cell


4.
# AcPmYSn, relaxed, DFT GGA-PBE
data_AcPmYSn
_cell_length_a 5.608
_cell_length_b 5.608
_cell_length_c 5.608
_cell_angle_alpha 60.00
_cell_angle_beta 60.00
_cell_angle_gamma 60.00
_symmetry_space_group_name_H-M 'P 1'
_symmetry_Int_Tables_number 1
loop_
_symmetry_equiv_pos_as_xyz
'x,y,z'
loop_
_atom_site_label
_atom_site_type_symbol
_atom_site_fract_x
_atom_site_fract_y
_atom_site_fract_z
_atom_site_occupancy
Y1 Y 0.750 0.750 0.750 1
Pm1 Pm 0.250 0.250 0.250 1
Ac1 Ac 0.500 0.500 0.500 1
Sn1 Sn 0.000 0.000 0.000 1
# V: 124.71 Å³/f.u.
# crystal system: cubic
# formation energy: -76 kJ/mol of formula units
# space group: F-43m (216)
# energy: -20.12 eV per cell


5.
# Pm5SmHo4, relaxed, DFT GGA-PBE
data_Pm5SmHo4
_cell_length_a 3.584
_cell_length_b 10.496
_cell_length_c 9.265
_cell_angle_alpha 83.88
_cell_angle_beta 101.15
_cell_angle_gamma 90.00
_symmetry_space_group_name_H-M 'P 1'
_symmetry_Int_Tables_number 1
loop_
_symmetry_equiv_pos_as_xyz
'x,y,z'
loop_
_atom_site_label
_atom_site_type_symbol
_atom_site_fract_x
_atom_site_fract_y
_atom_site_fract_z
_atom_site_occupancy
Pm1 Pm 0.811 0.596 0.622 1
Pm2 Pm 0.189 0.404 0.378 1
Pm3 Pm 0.142 0.768 0.285 1
Pm4 Pm 0.500 0.500 0.000 1
Pm5 Pm 0.858 0.232 0.715 1
Ho1 Ho 0.954 0.761 0.908 1
Ho2 Ho 0.683 0.088 0.366 1
Ho3 Ho 0.317 0.912 0.634 1
Ho4 Ho 0.046 0.239 0.092 1
Sm1 Sm 0.500 0.000 0.000 1
# V: 339.98 Å³/f.u.
# crystal system: monoclinic
# formation energy: 148 kJ/mol of formula units
# space group: C2/m (12)
# offset from the most stable computed form: 137 meV per atom
# energy: -45.25 eV per cell


6.
# Ba4HgAu, relaxed, DFT GGA-PBE
data_Ba4HgAu
_cell_length_a 8.306
_cell_length_b 8.414
_cell_length_c 10.583
_cell_angle_alpha 105.95
_cell_angle_beta 105.56
_cell_angle_gamma 108.21
_symmetry_space_group_name_H-M 'P 1'
_symmetry_Int_Tables_number 1
loop_
_symmetry_equiv_pos_as_xyz
'x,y,z'
loop_
_atom_site_label
_atom_site_type_symbol
_atom_site_fract_x
_atom_site_fract_y
_atom_site_fract_z
_atom_site_occupancy
Ba1 Ba 0.303 0.044 0.617 1
Ba2 Ba 0.814 0.573 0.617 1
Ba3 Ba 0.557 0.294 0.114 1
Ba4 Ba 0.943 0.180 0.886 1
Ba5 Ba 0.443 0.706 0.886 1
Ba6 Ba 0.186 0.427 0.383 1
Ba7 Ba 0.057 0.820 0.114 1
Ba8 Ba 0.697 0.956 0.383 1
Au1 Au 0.181 0.931 0.862 1
Au2 Au 0.819 0.069 0.138 1
Hg1 Hg 0.322 0.572 0.145 1
Hg2 Hg 0.678 0.428 0.855 1
# V: 311.31 Å³/f.u.
# crystal system: monoclinic
# formation energy: -220 kJ/mol of formula units
# space group: C2/c (15)
# offset from the most stable computed form: 44 meV per atom
# energy: -27.11 eV per cell